1.
First-principles (PBE) data for a relaxed Hf4MnN crystal, as listed in the Alexandria database.

## Properties
DFT total energy in eV per atom: -10.106
Calculated volume in Å³ per atom: 17.10
Crystal system: monoclinic
Formation energy (no corrections) in eV per atom: -0.55

a b c (Å): 5.8265 5.7706 6.1993
angles (deg): 90.00 100.02 90.00
Closest atoms and distances in Å follow each position.
Space group P2_1/c (No. 14)
Unique sites:
Hf1 0.1135 0.1675 0.1867 [4 per cell]  2 N 2.28-2.36
Hf2 0.3426 0.6467 0.1218 [4 per cell]  1 N 2.18, 1 Mn 2.41
Mn1 0.5000 0.0000 0.0000 [2 per cell]  4 Hf 2.41-2.51
N1 0.0000 0.0000 0.5000 [2 per cell]  6 Hf 2.18-2.36

=====

2.
First-principles (PBE) data for a relaxed TaBeAgRu2 crystal, as listed in the Alexandria database.

## Properties
ΔE_f in eV per atom: 1.733
DFT total energy in eV per atom: -5.663
Calculated volume in Å³ per atom: 21.96
Crystal system: tetragonal

a b c (Å): 4.6602 4.6602 5.0552
angles (deg): 90.00 90.00 90.00
Closest atoms and distances in Å follow each position.
Space group P4/mmm (No. 123)
Unique sites:
Ta1 0.0000 0.0000 0.0000 [1 per cell]  4 Ru 2.33, 2 Ag 2.53
Be1 0.5000 0.5000 0.5000 [1 per cell]  4 Ag 3.30, 8 Ru 3.44
Ag1 0.0000 0.0000 0.5000 [1 per cell]  2 Ta 2.53
Ru1 0.0000 0.5000 0.0000 [2 per cell]  2 Ta 2.33

=====

> Which formula does entry 2 have?

TaBeAgRu2

=====

> Look up the DFT total energy of the first one.

-10.106 eV per atom